Record 1
The following is a PBE calculation of a relaxed Cd2AsRu crystal, from Alexandria via LeMat-Bulk.

Output
Its magnetic moment is 0.0 μB per cell. As for the uncorrected energy: -3.548 eV per atom. The formation energy from the elements comes out at 0.3912 eV per atom. The value obtained for the density of states at the Fermi level is 15.9 states/eV per cell.

a = 6.6413 Å, b = 6.6413 Å, c = 6.6413 Å
α = 90.00°, β = 90.00°, γ = 90.00°
Last column: nearest neighbours and their distance in Å.
Space group F-43m (No. 216)
Asymmetric unit:
Cd 0.0000 0.0000 0.0000 (multiplicity 4)  4 Cd 2.88, 4 Ru 2.88
Cd 0.2500 0.2500 0.2500 (multiplicity 4)  4 Cd 2.88, 4 As 2.88
As 0.0000 0.0000 0.5000 (multiplicity 4)  4 Cd 2.88, 4 Ru 2.88
Ru 0.2500 0.2500 0.7500 (multiplicity 4)  4 Cd 2.88, 4 As 2.88


Record 2
The following is a PBE calculation of a relaxed BiSb3Pd crystal, from Alexandria via LeMat-Bulk.

Output
Its magnetic moment is 0.0 μB per cell. As for the uncorrected energy: -4.012 eV per atom. The value obtained for the density of states at the Fermi level is 5.2 states/eV per cell. For the uncorrected formation energy, the calculation gives 0.276 eV/atom. The value obtained for the relative energy among the computed polymorphs is 0 meV per atom.

a = 5.2656 Å, b = 5.2656 Å, c = 5.2656 Å
α = 90.00°, β = 90.00°, γ = 90.00°
Last column: nearest neighbours and their distance in Å.
Space group Pm-3m (No. 221)
Asymmetric unit:
Bi 0.0000 0.0000 0.0000 (multiplicity 1)  12 Sb 3.72
Sb 0.0000 0.5000 0.5000 (multiplicity 3)  2 Pd 2.63
Pd 0.5000 0.5000 0.5000 (multiplicity 1)  6 Sb 2.63


Record 3
The following is a PBE calculation of a relaxed HfZnB3 crystal, from Alexandria via LeMat-Bulk.

Output
Its magnetic moment is 0.0 μB per cell. As for the uncorrected energy: -4.457 eV per atom. The formation energy from the elements comes out at 1.7949 eV per atom. The value obtained for the density of states at the Fermi level is 2.2 states/eV per cell. The value obtained for the relative energy among the computed polymorphs is 518 meV per atom.

a = 4.4190 Å, b = 4.4190 Å, c = 4.4190 Å
α = 90.00°, β = 90.00°, γ = 90.00°
Last column: nearest neighbours and their distance in Å.
Space group Pm-3m (No. 221)
Asymmetric unit:
Hf 0.0000 0.0000 0.0000 (multiplicity 1)  6 B 2.21
Zn 0.5000 0.5000 0.5000 (multiplicity 1)  12 B 3.12
B 0.0000 0.0000 0.5000 (multiplicity 3)  2 Hf 2.21


Record 4
The following is a PBE calculation of a relaxed NaGaSbS4 crystal, from Alexandria via LeMat-Bulk.

Output
Its magnetic moment is 0.0 μB per cell. As for the uncorrected energy: -4.067 eV per atom. The value obtained for the density of states at the Fermi level is 11.7 states/eV per cell. For the uncorrected formation energy, the calculation gives -0.498 eV/atom.

a = 7.8072 Å, b = 11.8232 Å, c = 7.9945 Å
α = 90.00°, β = 90.00°, γ = 90.00°
Last column: nearest neighbours and their distance in Å.
Space group Cmcm (No. 63)
Asymmetric unit:
Na 0.0000 0.0000 0.0000 (multiplicity 4)  6 S 2.93-2.95
Ga 0.0000 0.3692 0.2500 (multiplicity 4)  4 S 2.27-2.32
Sb 0.0000 0.3510 0.7500 (multiplicity 4)  4 S 2.48-2.56
S 0.0000 0.2469 0.0306 (multiplicity 8)  1 Ga 2.27
S 0.2223 0.4995 0.2500 (multiplicity 8)  1 Ga 2.32, 1 Sb 2.48


Record 5
The following is a PBE calculation of a relaxed CuNiSn3 crystal, from Alexandria via LeMat-Bulk.

Output
Its magnetic moment is 0.0 μB per cell. As for the uncorrected energy: -4.390 eV per atom. The formation energy from the elements comes out at -0.0133 eV per atom. The value obtained for the density of states at the Fermi level is 7.6 states/eV per cell. The value obtained for the relative energy among the computed polymorphs is 0 meV per atom.

a = 8.8117 Å, b = 6.6610 Å, c = 7.2639 Å
α = 90.00°, β = 105.85°, γ = 90.00°
Last column: nearest neighbours and their distance in Å.
Space group P2_1/c (No. 14)
Asymmetric unit:
Cu 0.0604 0.1716 0.0312 (multiplicity 4)  1 Cu 2.51, 4 Sn 2.69-2.77
Ni 0.3953 0.5300 0.3441 (multiplicity 4)  1 Ni 2.53, 6 Sn 2.63-2.73
Sn 0.0845 0.5248 0.2161 (multiplicity 4)  1 Ni 2.64, 4 Cu 2.69-2.77
Sn 0.3208 0.6242 0.6663 (multiplicity 4)  3 Ni 2.63-2.72
Sn 0.3570 0.1761 0.5094 (multiplicity 4)  3 Ni 2.71-2.91, 1 Cu 2.85


Record 6
The following is a PBE calculation of a relaxed CuGeN crystal, from Alexandria via LeMat-Bulk.

Output
Its magnetic moment is 0.0 μB per cell. As for the uncorrected energy: -5.456 eV per atom. For the uncorrected formation energy, the calculation gives 0.224 eV/atom.

a = 10.3195 Å, b = 3.1107 Å, c = 6.4878 Å
α = 90.00°, β = 124.54°, γ = 90.00°
Last column: nearest neighbours and their distance in Å.
Space group C2/m (No. 12)
Asymmetric unit:
Cu 0.1400 0.0000 0.3145 (multiplicity 4)  1 N 1.90
Ge 0.1175 0.0000 0.7960 (multiplicity 4)  3 N 1.93-2.07
N 0.2353 0.5000 0.8162 (multiplicity 4)  1 Cu 1.90, 3 Ge 1.93-2.07


Record 7
The following is a PBE calculation of a relaxed Sc2ZnNi4Ge3 crystal, from Alexandria via LeMat-Bulk.

Output
Its magnetic moment is 0.0 μB per cell. As for the uncorrected energy: -5.638 eV per atom. The formation energy from the elements comes out at -0.5469 eV per atom. The value obtained for the density of states at the Fermi level is 7.1 states/eV per cell.

a = 3.8385 Å, b = 3.8385 Å, c = 10.2258 Å
α = 90.00°, β = 90.00°, γ = 90.00°
Last column: nearest neighbours and their distance in Å.
Space group P-4m2 (No. 115)
Asymmetric unit:
Sc 0.0000 0.5000 0.2475 (multiplicity 2)  8 Ni 2.91-3.22, 6 Ge 2.97-3.18, 2 Zn 3.18
Zn 0.5000 0.5000 0.0000 (multiplicity 1)  4 Ni 2.42
Ni 0.0000 0.0000 0.5000 (multiplicity 1)  4 Ge 2.37
Ni 0.0000 0.5000 0.8562 (multiplicity 2)  3 Ge 2.26-2.42, 2 Zn 2.42
Ni 0.5000 0.5000 0.5000 (multiplicity 1)  4 Ge 2.37
Ge 0.0000 0.0000 0.0000 (multiplicity 1)  4 Ni 2.42
Ge 0.0000 0.5000 0.6352 (multiplicity 2)  5 Ni 2.26-2.37


Record 8
The following is a PBE calculation of a relaxed LiAc2InTe5 crystal, from Alexandria via LeMat-Bulk.

Output
Its magnetic moment is 0.0 μB per cell. As for the uncorrected energy: -4.327 eV per atom. For the uncorrected formation energy, the calculation gives -1.152 eV/atom.

a = 4.5440 Å, b = 19.9453 Å, c = 13.3402 Å
α = 90.00°, β = 90.00°, γ = 90.00°
Last column: nearest neighbours and their distance in Å.
Space group Cmc2_1 (No. 36)
Asymmetric unit:
Li 0.0000 0.2186 0.0000 (multiplicity 4)  3 Te 2.80-2.92
Ac 0.0000 0.1231 0.6590 (multiplicity 4)  8 Te 3.38-3.55
Ac 0.0000 0.1302 0.2809 (multiplicity 4)  8 Te 3.34-3.56
In 0.0000 0.4240 0.4387 (multiplicity 4)  4 Te 2.82-2.87
Te 0.0000 0.0401 0.0531 (multiplicity 4)  2 In 2.83
Te 0.0000 0.2939 0.6363 (multiplicity 4)  2 Li 2.92
Te 0.0000 0.3065 0.3212 (multiplicity 4)  1 In 2.82
Te 0.0000 0.3580 0.9731 (multiplicity 4)  1 Li 2.80
Te 0.0000 0.4977 0.2543 (multiplicity 4)  1 In 2.87


Record 9
The following is a PBE calculation of a relaxed PaAlCo5P2 crystal, from Alexandria via LeMat-Bulk.

Output
Its magnetic moment is 1.9 μB per cell. As for the uncorrected energy: -7.271 eV per atom. The formation energy from the elements comes out at -0.6502 eV per atom. The value obtained for the density of states at the Fermi level is 8.6 states/eV per cell.

a = 3.8465 Å, b = 3.8465 Å, c = 7.7595 Å
α = 90.00°, β = 90.00°, γ = 90.00°
Last column: nearest neighbours and their distance in Å.
Space group P4/mmm (No. 123)
Asymmetric unit:
Pa 0.0000 0.0000 0.0000 (multiplicity 1)  8 Co 2.95, 8 P 2.97
Al 0.0000 0.0000 0.5000 (multiplicity 1)  12 Co 2.53-2.72
Co 0.0000 0.5000 0.2883 (multiplicity 4)  2 P 2.18
Co 0.5000 0.5000 0.5000 (multiplicity 1)  8 Co 2.53, 2 P 2.68, 4 Al 2.72
P 0.5000 0.5000 0.1550 (multiplicity 2)  4 Co 2.18, 1 P 2.41


Summary of calculated volume in Å³/cell
292.9; 146.0; 86.3; 737.9; 410.2; 171.5; 150.7; 1209.0; 114.8
(order as listed above)